No. 1
## NaSc2Sn2 (SCAN)

Data for a PBEsol-optimized structure of NaSc2Sn2.

## Properties
total moment: 1.4 Bohr magnetons per cell
E_form: -0.523 eV/atom
DOS at the Fermi energy: 5.08 states/eV per cell

Cell lengths 3.2135, 8.6831, 8.6831 Å; angles 90.00, 90.00, 90.00 degrees
Fractional coordinates of all 10 atoms:
Sn  0.0000  0.1653  0.3347
Sn  0.0000  0.3347  0.8347
Sn  0.0000  0.8347  0.6653
Sn  0.0000  0.6653  0.1653
Sc  0.5000  0.3681  0.1319
Sc  0.5000  0.6319  0.8681
Sc  0.5000  0.1319  0.6319
Sc  0.5000  0.8681  0.3681
Na  0.0000  0.0000  0.0000
Na  0.0000  0.5000  0.5000


No. 2
## Na3SrSc (SCAN)

Data for a PBEsol-optimized structure of Na3SrSc.

## Properties
total moment: 2.1 Bohr magnetons per cell
E_form: 1.034 eV/atom
DOS at the Fermi energy: 8.33 states/eV per cell

Cell lengths 6.0225, 6.0225, 6.0225 Å; angles 90.00, 90.00, 90.00 degrees
Fractional coordinates of all 5 atoms:
Sc  0.5000  0.5000  0.5000
Sr  0.0000  0.0000  0.0000
Na  0.0000  0.5000  0.0000
Na  0.0000  0.0000  0.5000
Na  0.5000  0.0000  0.0000


No. 3
## NaScTa3 (SCAN)

Data for a PBEsol-optimized structure of NaScTa3.

## Properties
total moment: 0.0 Bohr magnetons per cell
E_form: 2.105 eV/atom
DOS at the Fermi energy: 8.60 states/eV per cell

Cell lengths 4.8177, 4.8177, 4.8177 Å; angles 90.00, 90.00, 90.00 degrees
Fractional coordinates of all 5 atoms:
Ta  0.0000  0.0000  0.5000
Ta  0.5000  0.0000  0.0000
Ta  0.0000  0.5000  0.0000
Sc  0.0000  0.0000  0.0000
Na  0.5000  0.5000  0.5000


No. 4
## Na2Sc2Ta (SCAN)

Data for a PBEsol-optimized structure of Na2Sc2Ta.

## Properties
total moment: 1.7 Bohr magnetons per cell
E_form: 0.651 eV/atom
DOS at the Fermi energy: 5.08 states/eV per cell

Cell lengths 3.6316, 3.6316, 9.4275 Å; angles 101.10, 101.10, 90.00 degrees
Fractional coordinates of all 5 atoms:
Sc  0.4164  0.4164  0.8329
Sc  0.5836  0.5836  0.1671
Na  0.7500  0.2500  0.5000
Na  0.2500  0.7500  0.5000
Ta  0.0000  0.0000  0.0000


No. 5
## Na2ZrScTc (SCAN)

Data for a PBEsol-optimized structure of Na2ZrScTc.

## Properties
total moment: 1.0 Bohr magnetons per cell
E_form: 1.035 eV/atom
DOS at the Fermi energy: 5.77 states/eV per cell

Cell lengths 4.6827, 5.3020, 5.3020 Å; angles 90.00, 90.00, 90.00 degrees
Fractional coordinates of all 5 atoms:
Zr  0.5000  0.0000  0.0000
Na  0.0000  0.0000  0.5000
Na  0.0000  0.5000  0.0000
Sc  0.5000  0.5000  0.5000
Tc  0.0000  0.0000  0.0000


No. 6
## NaScTe3 (SCAN)

Data for a PBEsol-optimized structure of NaScTe3.

## Properties
formation energy without anion corrections: -650 meV/atom
total moment: 0.0 Bohr magnetons per cell
DOS at the Fermi energy: 5.96 states/eV per cell

Cell lengths 5.5391, 5.5391, 5.5391 Å; angles 90.00, 90.00, 90.00 degrees
Fractional coordinates of all 5 atoms:
Te  0.0000  0.0000  0.5000
Te  0.0000  0.5000  0.0000
Te  0.5000  0.0000  0.0000
Na  0.5000  0.5000  0.5000
Sc  0.0000  0.0000  0.0000


No. 7
## Na3ScTi (SCAN)

Data for a PBEsol-optimized structure of Na3ScTi.

## Properties
total moment: 1.6 Bohr magnetons per cell
E_form: 1.388 eV/atom
DOS at the Fermi energy: 5.01 states/eV per cell

Cell lengths 5.5959, 5.5959, 5.5959 Å; angles 90.00, 90.00, 90.00 degrees
Fractional coordinates of all 5 atoms:
Na  0.0000  0.5000  0.0000
Na  0.0000  0.0000  0.5000
Na  0.5000  0.0000  0.0000
Sc  0.0000  0.0000  0.0000
Ti  0.5000  0.5000  0.5000


No. 8
## NaSc2Tl2 (SCAN)

Data for a PBEsol-optimized structure of NaSc2Tl2.

## Properties
total moment: 0.4 Bohr magnetons per cell
E_form: -0.338 eV/atom
DOS at the Fermi energy: 5.40 states/eV per cell

Cell lengths 3.2649, 8.6934, 8.6934 Å; angles 90.00, 90.00, 90.00 degrees
Fractional coordinates of all 10 atoms:
Sc  0.5000  0.8740  0.3740
Sc  0.5000  0.6260  0.8740
Sc  0.5000  0.1260  0.6260
Sc  0.5000  0.3740  0.1260
Na  0.0000  0.0000  0.0000
Na  0.0000  0.5000  0.5000
Tl  0.0000  0.1737  0.3263
Tl  0.0000  0.6737  0.1737
Tl  0.0000  0.8263  0.6737
Tl  0.0000  0.3263  0.8263


No. 9
## Na3ScW (SCAN)

Data for a PBEsol-optimized structure of Na3ScW.

## Properties
total moment: 2.5 Bohr magnetons per cell
E_form: 2.205 eV/atom
DOS at the Fermi energy: 8.21 states/eV per cell

Cell lengths 5.5016, 5.5016, 5.5016 Å; angles 90.00, 90.00, 90.00 degrees
Fractional coordinates of all 5 atoms:
W  0.5000  0.5000  0.5000
Na  0.0000  0.0000  0.5000
Na  0.0000  0.5000  0.0000
Na  0.5000  0.0000  0.0000
Sc  0.0000  0.0000  0.0000


No. 10
## Na3YSc (SCAN)

Data for a PBEsol-optimized structure of Na3YSc.

## Properties
total moment: 3.1 Bohr magnetons per cell
E_form: 1.246 eV/atom
DOS at the Fermi energy: 3.91 states/eV per cell

Cell lengths 5.7586, 5.7586, 5.7586 Å; angles 90.00, 90.00, 90.00 degrees
Fractional coordinates of all 5 atoms:
Na  0.5000  0.0000  0.0000
Na  0.0000  0.0000  0.5000
Na  0.0000  0.5000  0.0000
Y  0.0000  0.0000  0.0000
Sc  0.5000  0.5000  0.5000


No. 11
## NaScZn3 (SCAN)

Data for a PBEsol-optimized structure of NaScZn3.

## Properties
total moment: 0.0 Bohr magnetons per cell
E_form: 0.641 eV/atom
DOS at the Fermi energy: 3.17 states/eV per cell

Cell lengths 4.6706, 4.6706, 4.6706 Å; angles 90.00, 90.00, 90.00 degrees
Fractional coordinates of all 5 atoms:
Zn  0.0000  0.0000  0.5000
Zn  0.5000  0.0000  0.0000
Zn  0.0000  0.5000  0.0000
Sc  0.5000  0.5000  0.5000
Na  0.0000  0.0000  0.0000


No. 12
## Na3ScZn (SCAN)

Data for a PBEsol-optimized structure of Na3ScZn.

## Properties
total moment: 1.1 Bohr magnetons per cell
E_form: 0.585 eV/atom
DOS at the Fermi energy: 3.87 states/eV per cell

Cell lengths 5.3844, 5.3844, 5.3844 Å; angles 90.00, 90.00, 90.00 degrees
Fractional coordinates of all 5 atoms:
Na  0.0000  0.5000  0.0000
Na  0.5000  0.0000  0.0000
Na  0.0000  0.0000  0.5000
Sc  0.5000  0.5000  0.5000
Zn  0.0000  0.0000  0.0000